Entry 1:
Here is an optimized crystal structure of Tm5Tl2Os from Alexandria via LeMat-Bulk. Energies are from GGA-PBE.

a b c (Å): 4.889 6.726 12.475
angles (deg): 90.00 90.00 90.00
Sites, in units of the cell vectors:
Tm1 0.000 0.000 0.500
Tm2 0.000 0.500 0.000
Tm3 0.000 0.881 0.211
Tm4 0.000 0.119 0.789
Tm5 0.000 0.619 0.711
Tm6 0.000 0.381 0.289
Tm7 0.500 0.672 0.414
Tm8 0.500 0.328 0.586
Tm9 0.500 0.828 0.914
Tm10 0.500 0.172 0.086
Tl1 0.500 0.612 0.159
Tl2 0.500 0.388 0.841
Tl3 0.500 0.888 0.659
Tl4 0.500 0.112 0.341
Os1 0.000 0.500 0.500
Os2 0.000 0.000 0.000

Values from the calculation:
Its space-group type is Pbam (55). As for the crystal system: orthorhombic. As for the energy of formation: -0.31 eV/atom.

Entry 2:
Here is an optimized crystal structure of TeOs2Se from Alexandria via LeMat-Bulk. Energies are from GGA-PBE.

a b c (Å): 4.641 4.641 4.641
angles (deg): 60.00 60.00 60.00
Sites, in units of the cell vectors:
Os1 0.000 0.000 0.000
Os2 0.250 0.250 0.250
Se1 0.500 0.500 0.500
Te1 0.750 0.750 0.750

Values from the calculation:
Its space-group type is F-43m (216). As for the crystal system: cubic. The raw formation energy comes out at 1.241 eV/atom. Its energy above the most stable polymorph in this dataset is 0.870 eV/atom.

Entry 3:
Here is an optimized crystal structure of TlZnS2Cl from Alexandria via LeMat-Bulk. Energies are from GGA-PBE.

a b c (Å): 4.669 4.669 5.553
angles (deg): 90.00 90.00 90.00
Each line ends with the local moment (μB).
Sites, in units of the cell vectors:
S1 0.000 0.500 0.000  0.18
S2 0.500 0.000 0.000  0.18
Tl1 0.500 0.500 0.500  0.00
Zn1 0.000 0.000 0.000  0.00
Cl1 0.000 0.000 0.500  0.06

Values from the calculation:
Its space-group type is P4/mmm (123). As for the crystal system: tetragonal. The raw formation energy comes out at -0.136 eV/atom. Its energy above the most stable polymorph in this dataset is 0.000 eV/atom.

Entry 4:
Here is an optimized crystal structure of RbTm2ReO8 from Alexandria via LeMat-Bulk. Energies are from GGA-PBE.

a b c (Å): 4.908 4.908 7.595
angles (deg): 89.77 89.77 90.93
Sites, in units of the cell vectors:
Rb1 0.000 0.000 0.500
Tm1 0.499 0.499 0.784
Tm2 0.501 0.501 0.216
Re1 0.000 0.000 0.000
O1 0.185 0.810 0.177
O2 0.716 0.716 0.998
O3 0.810 0.185 0.177
O4 0.815 0.190 0.823
O5 0.284 0.284 0.002
O6 0.190 0.815 0.823
O7 0.610 0.610 0.500
O8 0.390 0.390 0.500

Values from the calculation:
Its space-group type is C2/m (12). As for the crystal system: monoclinic. The raw formation energy comes out at -2.248 eV/atom.

Entry 5:
Here is an optimized crystal structure of In2FeAs from Alexandria via LeMat-Bulk. Energies are from GGA-PBE.

a b c (Å): 3.107 2.971 8.620
angles (deg): 89.96 90.00 90.00
Each line ends with the local moment (μB).
Sites, in units of the cell vectors:
As1 0.500 0.250 0.250  -0.01
Fe1 0.500 0.750 0.750  2.38
In1 0.000 0.249 0.959  -0.04
In2 0.000 0.251 0.541  -0.04

Values from the calculation:
Its space-group type is Pmmm (47). As for the crystal system: orthorhombic. As for the energy of formation: 0.25 eV/atom.

Entry 6:
Here is an optimized crystal structure of TiReN3 from Alexandria via LeMat-Bulk. Energies are from GGA-PBE.

a b c (Å): 6.098 6.098 4.787
angles (deg): 90.00 90.00 145.53
Sites, in units of the cell vectors:
Re1 0.436 0.564 0.250
Re2 0.564 0.436 0.750
N1 0.975 0.385 0.250
N2 0.615 0.025 0.250
N3 0.385 0.975 0.750
N4 0.025 0.615 0.750
N5 0.000 0.000 0.000
N6 0.000 0.000 0.500
Ti1 0.140 0.860 0.250
Ti2 0.860 0.140 0.750

Values from the calculation:
Its space-group type is Cmcm (63). As for the crystal system: orthorhombic. The raw formation energy comes out at -0.015 eV/atom.

Entry 7:
Here is an optimized crystal structure of BaB2O from Alexandria via LeMat-Bulk. Energies are from GGA-PBE.

a b c (Å): 3.606 3.606 10.043
angles (deg): 79.66 79.66 90.00
Sites, in units of the cell vectors:
B1 0.375 0.125 0.250
B2 0.375 0.625 0.250
B3 0.375 0.625 0.750
B4 0.875 0.625 0.750
Ba1 0.000 0.000 0.000
Ba2 0.750 0.250 0.500
O1 0.500 0.500 0.000
O2 0.250 0.750 0.500

Values from the calculation:
Its space-group type is I4_1/amd (141). As for the crystal system: tetragonal. The raw formation energy comes out at -0.096 eV/atom.

Entry 8:
Here is an optimized crystal structure of Ni2HgN from Alexandria via LeMat-Bulk. Energies are from GGA-PBE.

a b c (Å): 4.170 4.170 4.170
angles (deg): 60.00 60.00 60.00
Sites, in units of the cell vectors:
Ni1 0.250 0.250 0.250
Ni2 0.750 0.750 0.750
Hg1 0.500 0.500 0.500
N1 0.000 0.000 0.000

Values from the calculation:
Its space-group type is Fm-3m (225). As for the crystal system: cubic. The raw formation energy comes out at 1.248 eV/atom. Its energy above the most stable polymorph in this dataset is 1.007 eV/atom.

Entry 9:
Here is an optimized crystal structure of CuSiN2O from Alexandria via LeMat-Bulk. Energies are from GGA-PBE.

a b c (Å): 3.767 3.767 3.679
angles (deg): 90.00 90.00 90.00
Sites, in units of the cell vectors:
Si1 0.500 0.500 0.500
O1 0.000 0.000 0.500
Cu1 0.000 0.000 0.000
N1 0.000 0.500 0.000
N2 0.500 0.000 0.000

Values from the calculation:
Its space-group type is P4/mmm (123). As for the crystal system: tetragonal. The raw formation energy comes out at 1.414 eV/atom.

Entry 10:
Here is an optimized crystal structure of ScCrNiGe from Alexandria via LeMat-Bulk. Energies are from GGA-PBE.

a b c (Å): 3.981 3.879 8.675
angles (deg): 90.00 117.39 90.00
Each line ends with the local moment (μB).
Sites, in units of the cell vectors:
Sc1 0.360 0.000 0.725  0.02
Sc2 0.360 0.500 0.225  0.02
Cr1 0.106 0.000 0.971  2.73
Cr2 0.106 0.500 0.471  2.73
Ni1 0.611 0.000 0.477  0.09
Ni2 0.611 0.500 0.977  0.09
Ge1 0.852 0.000 0.218  -0.09
Ge2 0.852 0.500 0.718  -0.09

Values from the calculation:
Its space-group type is Imm2 (44). As for the crystal system: orthorhombic. As for the energy of formation: -0.20 eV/atom. Its energy above the most stable polymorph in this dataset is 0.065 eV/atom.

Entry 11:
Here is an optimized crystal structure of RbUReO6 from Alexandria via LeMat-Bulk. Energies are from GGA-PBE.

a b c (Å): 7.874 7.376 7.608
angles (deg): 119.00 121.16 90.00
Each line ends with the local moment (μB).
Sites, in units of the cell vectors:
Rb1 0.859 0.609 0.717  0.00
Rb2 0.141 0.391 0.283  0.00
U1 0.500 0.000 0.500  0.42
U2 0.000 0.000 0.500  0.42
Re1 0.500 0.500 0.000  0.59
Re2 0.500 0.000 0.000  0.59
O1 0.461 0.711 0.922  -0.02
O2 0.827 0.077 0.654  -0.01
O3 0.802 0.082 0.252  0.01
O4 0.450 0.670 0.252  0.01
O5 0.450 0.082 0.252  0.01
O6 0.802 0.670 0.252  0.01
O7 0.539 0.289 0.078  -0.02
O8 0.173 0.923 0.346  -0.01
O9 0.198 0.918 0.748  0.01
O10 0.550 0.330 0.748  0.01
O11 0.550 0.918 0.748  0.01
O12 0.198 0.330 0.748  0.01

Values from the calculation:
Its space-group type is Imma (74). As for the crystal system: orthorhombic. The raw formation energy comes out at -2.322 eV/atom.

Entry 12:
Here is an optimized crystal structure of InCu2Os from Alexandria via LeMat-Bulk. Energies are from GGA-PBE.

a b c (Å): 2.797 2.797 7.735
angles (deg): 90.00 90.00 90.00
Sites, in units of the cell vectors:
Cu1 0.000 0.000 0.978
Cu2 0.000 0.000 0.522
In1 0.500 0.500 0.250
Os1 0.500 0.500 0.750

Values from the calculation:
Its space-group type is P4/mmm (123). As for the crystal system: tetragonal. As for the energy of formation: 0.44 eV/atom.

Entry 13:
Here is an optimized crystal structure of Tm2ScTl from Alexandria via LeMat-Bulk. Energies are from GGA-PBE.

a b c (Å): 5.180 6.479 6.525
angles (deg): 100.23 90.00 90.00
Sites, in units of the cell vectors:
Tm1 0.250 0.930 0.653
Tm2 0.750 0.070 0.347
Tm3 0.250 0.708 0.137
Tm4 0.750 0.292 0.863
Sc1 0.250 0.415 0.576
Sc2 0.750 0.585 0.424
Tl1 0.250 0.226 0.123
Tl2 0.750 0.774 0.877

Values from the calculation:
Its space-group type is P2_1/m (11). As for the crystal system: monoclinic. As for the energy of formation: -0.18 eV/atom. Its energy above the most stable polymorph in this dataset is 0.000 eV/atom.